(1)
# Dy10Sb3Te3, relaxed, DFT PBE-GGA
# Symmetry: P-62m, No. 189
# Total moment in μB per formula unit: 0.00
# Uncorrected formation energy in eV/f.u.: -15.09
# Total energy in eV/atom: -5.181
data_Dy10Sb3Te3
_chemical_formula_sum 'Dy10 Sb3 Te3'
_cell_length_a 9.0079
_cell_length_b 9.0079
_cell_length_c 6.2001
_cell_angle_alpha 90.00
_cell_angle_beta 90.00
_cell_angle_gamma 120.00
_symmetry_space_group_name_H-M 'P 1'
_symmetry_Int_Tables_number 1
loop_
_symmetry_equiv_pos_as_xyz
'x,y,z'
loop_
_atom_site_label
_atom_site_fract_x
_atom_site_fract_y
_atom_site_fract_z
Dy1 0.0000 0.2515 0.0000
Dy2 0.0000 0.7486 0.5000
Dy3 0.2515 0.0000 0.0000
Dy4 0.2514 0.2514 0.5000
Dy5 0.3333 0.6667 0.2481
Dy6 0.3333 0.6667 0.7519
Dy7 0.6667 0.3333 0.2481
Dy8 0.6667 0.3333 0.7519
Dy9 0.7486 0.0000 0.5000
Dy10 0.7485 0.7485 0.0000
Sb1 0.0000 0.6129 0.0000
Sb2 0.3871 0.3871 0.0000
Sb3 0.6129 0.0000 0.0000
Te1 0.0000 0.3862 0.5000
Te2 0.3862 0.0000 0.5000
Te3 0.6138 0.6138 0.5000


(2)
# Dy4Sb2Te, relaxed, DFT PBE-GGA
# Symmetry: I-42d, No. 122
# Total moment in μB per formula unit: 0.00
# Uncorrected formation energy in eV/f.u.: -7.19
# Total energy in eV/atom: -5.283
data_Dy4Sb2Te
_chemical_formula_sum 'Dy8 Sb4 Te2'
_cell_length_a 7.9423
_cell_length_b 7.9423
_cell_length_c 7.9423
_cell_angle_alpha 109.60
_cell_angle_beta 109.60
_cell_angle_gamma 109.21
_symmetry_space_group_name_H-M 'P 1'
_symmetry_Int_Tables_number 1
loop_
_symmetry_equiv_pos_as_xyz
'x,y,z'
loop_
_atom_site_label
_atom_site_fract_x
_atom_site_fract_y
_atom_site_fract_z
Dy1 0.1220 0.0180 0.7486
Dy2 0.1234 0.5194 0.7514
Dy3 0.2694 0.3734 0.2514
Dy4 0.4806 0.2320 0.6040
Dy5 0.6266 0.8780 0.8960
Dy6 0.6280 0.8766 0.3960
Dy7 0.7680 0.3720 0.2486
Dy8 0.9820 0.7306 0.1040
Sb1 0.0008 0.1250 0.3758
Sb2 0.3750 0.9992 0.1242
Sb3 0.7492 0.6250 0.6242
Sb4 0.8750 0.2508 0.8758
Te1 0.2500 0.7500 0.5000
Te2 0.5000 0.5000 0.0000


(3)
# Dy4SbTe2, relaxed, DFT PBE-GGA
# Symmetry: Cmcm, No. 63
# Total moment in μB per formula unit: 0.00
# Uncorrected formation energy in eV/f.u.: -6.88
# Total energy in eV/atom: -5.099
data_Dy4SbTe2
_chemical_formula_sum 'Dy8 Sb2 Te4'
_cell_length_a 7.2263
_cell_length_b 7.2263
_cell_length_c 14.5514
_cell_angle_alpha 90.00
_cell_angle_beta 90.00
_cell_angle_gamma 146.30
_symmetry_space_group_name_H-M 'P 1'
_symmetry_Int_Tables_number 1
loop_
_symmetry_equiv_pos_as_xyz
'x,y,z'
loop_
_atom_site_label
_atom_site_fract_x
_atom_site_fract_y
_atom_site_fract_z
Dy1 0.0000 0.0000 0.0000
Dy2 0.0000 0.0000 0.5000
Dy3 0.2868 0.7132 0.6322
Dy4 0.2868 0.7132 0.8678
Dy5 0.4317 0.5683 0.2500
Dy6 0.5683 0.4317 0.7500
Dy7 0.7132 0.2868 0.1322
Dy8 0.7132 0.2868 0.3678
Sb1 0.0927 0.9073 0.2500
Sb2 0.9073 0.0927 0.7500
Te1 0.3560 0.6440 0.0610
Te2 0.3560 0.6440 0.4390
Te3 0.6440 0.3560 0.5610
Te4 0.6440 0.3560 0.9390


(4)
# Dy4SbTe3, relaxed, DFT PBE-GGA
# Symmetry: Cmmm, No. 65
# Total moment in μB per formula unit: 0.00
# Uncorrected formation energy in eV/f.u.: -10.18
# Total energy in eV/atom: -5.267
data_Dy4SbTe3
_chemical_formula_sum 'Dy8 Sb2 Te6'
_cell_length_a 8.7496
_cell_length_b 12.3359
_cell_length_c 4.3538
_cell_angle_alpha 90.00
_cell_angle_beta 90.00
_cell_angle_gamma 90.00
_symmetry_space_group_name_H-M 'P 1'
_symmetry_Int_Tables_number 1
loop_
_symmetry_equiv_pos_as_xyz
'x,y,z'
loop_
_atom_site_label
_atom_site_fract_x
_atom_site_fract_y
_atom_site_fract_z
Dy1 0.0000 0.2447 0.0000
Dy2 0.0000 0.7553 0.0000
Dy3 0.2408 0.0000 0.5000
Dy4 0.2592 0.5000 0.5000
Dy5 0.5000 0.2553 0.0000
Dy6 0.5000 0.7447 0.0000
Dy7 0.7408 0.5000 0.5000
Dy8 0.7592 0.0000 0.5000
Sb1 0.0000 0.0000 0.0000
Sb2 0.5000 0.5000 0.0000
Te1 0.0000 0.5000 0.0000
Te2 0.2500 0.2500 0.5000
Te3 0.2500 0.7500 0.5000
Te4 0.5000 0.0000 0.0000
Te5 0.7500 0.2500 0.5000
Te6 0.7500 0.7500 0.5000


(5)
# Dy2SbTe2, relaxed, DFT PBE-GGA
# Symmetry: C2/m, No. 12
# Total moment in μB per formula unit: 0.00
# Uncorrected formation energy in eV/f.u.: -3.96
# Total energy in eV/atom: -4.714
data_Dy2SbTe2
_chemical_formula_sum 'Dy4 Sb2 Te4'
_cell_length_a 7.4412
_cell_length_b 5.8872
_cell_length_c 7.4914
_cell_angle_alpha 90.00
_cell_angle_beta 103.48
_cell_angle_gamma 90.00
_symmetry_space_group_name_H-M 'P 1'
_symmetry_Int_Tables_number 1
loop_
_symmetry_equiv_pos_as_xyz
'x,y,z'
loop_
_atom_site_label
_atom_site_fract_x
_atom_site_fract_y
_atom_site_fract_z
Dy1 0.1886 0.0000 0.2154
Dy2 0.3114 0.5000 0.7846
Dy3 0.6886 0.5000 0.2154
Dy4 0.8114 0.0000 0.7846
Sb1 0.0000 0.5000 0.0000
Sb2 0.5000 0.0000 0.0000
Te1 0.0000 0.2479 0.5000
Te2 0.0000 0.7521 0.5000
Te3 0.5000 0.2521 0.5000
Te4 0.5000 0.7479 0.5000


(6)
# Dy3Sb5Te12, relaxed, DFT PBE-GGA
# Symmetry: Ia-3d, No. 230
# Total moment in μB per formula unit: 0.00
# Uncorrected formation energy in eV/f.u.: -8.03
# Total energy in eV/atom: -4.008
data_Dy3Sb5Te12
_chemical_formula_sum 'Dy12 Sb20 Te48'
_cell_length_a 15.6954
_cell_length_b 15.6954
_cell_length_c 15.6954
_cell_angle_alpha 109.47
_cell_angle_beta 109.47
_cell_angle_gamma 109.47
_symmetry_space_group_name_H-M 'P 1'
_symmetry_Int_Tables_number 1
loop_
_symmetry_equiv_pos_as_xyz
'x,y,z'
loop_
_atom_site_label
_atom_site_fract_x
_atom_site_fract_y
_atom_site_fract_z
Dy1 0.1250 0.2500 0.3750
Dy2 0.1250 0.3750 0.7500
Dy3 0.2500 0.3750 0.1250
Dy4 0.2500 0.8750 0.6250
Dy5 0.3750 0.1250 0.2500
Dy6 0.3750 0.7500 0.1250
Dy7 0.6250 0.2500 0.8750
Dy8 0.6250 0.8750 0.7500
Dy9 0.7500 0.1250 0.3750
Dy10 0.7500 0.6250 0.8750
Dy11 0.8750 0.6250 0.2500
Dy12 0.8750 0.7500 0.6250
Sb1 0.0000 0.0000 0.0000
Sb2 0.0000 0.0000 0.5000
Sb3 0.0000 0.5000 0.0000
Sb4 0.0000 0.5000 0.5000
Sb5 0.1250 0.7500 0.8750
Sb6 0.1250 0.8750 0.2500
Sb7 0.2500 0.1250 0.8750
Sb8 0.2500 0.6250 0.3750
Sb9 0.3750 0.2500 0.6250
Sb10 0.3750 0.6250 0.7500
Sb11 0.5000 0.0000 0.0000
Sb12 0.5000 0.0000 0.5000
Sb13 0.5000 0.5000 0.0000
Sb14 0.5000 0.5000 0.5000
Sb15 0.6250 0.3750 0.2500
Sb16 0.6250 0.7500 0.3750
Sb17 0.7500 0.3750 0.6250
Sb18 0.7500 0.8750 0.1250
Sb19 0.8750 0.1250 0.7500
Sb20 0.8750 0.2500 0.1250
Te1 0.0554 0.2229 0.1408
Te2 0.0554 0.3325 0.9146
Te3 0.0821 0.7229 0.6675
Te4 0.0821 0.8592 0.4146
Te5 0.0854 0.6408 0.4179
Te6 0.0854 0.9446 0.6675
Te7 0.1408 0.0554 0.2229
Te8 0.1408 0.5854 0.9179
Te9 0.1675 0.2229 0.5821
Te10 0.1675 0.4446 0.5854
Te11 0.2229 0.1408 0.0554
Te12 0.2229 0.5821 0.1675
Te13 0.2771 0.3325 0.9179
Te14 0.2771 0.4446 0.3592
Te15 0.3325 0.9146 0.0554
Te16 0.3325 0.9179 0.2771
Te17 0.3592 0.2771 0.4446
Te18 0.3592 0.5821 0.9146
Te19 0.4146 0.0821 0.8592
Te20 0.4146 0.8325 0.5554
Te21 0.4179 0.0854 0.6408
Te22 0.4179 0.8325 0.7771
Te23 0.4446 0.3592 0.2771
Te24 0.4446 0.5854 0.1675
Te25 0.5554 0.4146 0.8325
Te26 0.5554 0.6408 0.7229
Te27 0.5821 0.1675 0.2229
Te28 0.5821 0.9146 0.3592
Te29 0.5854 0.1675 0.4446
Te30 0.5854 0.9179 0.1408
Te31 0.6408 0.4179 0.0854
Te32 0.6408 0.7229 0.5554
Te33 0.6675 0.0821 0.7229
Te34 0.6675 0.0854 0.9446
Te35 0.7229 0.5554 0.6408
Te36 0.7229 0.6675 0.0821
Te37 0.7771 0.4179 0.8325
Te38 0.7771 0.8592 0.9446
Te39 0.8325 0.5554 0.4146
Te40 0.8325 0.7771 0.4179
Te41 0.8592 0.4146 0.0821
Te42 0.8592 0.9446 0.7771
Te43 0.9146 0.0554 0.3325
Te44 0.9146 0.3592 0.5821
Te45 0.9179 0.1408 0.5854
Te46 0.9179 0.2771 0.3325
Te47 0.9446 0.6675 0.0854
Te48 0.9446 0.7771 0.8592